(1)
Material: MgAu2Se
Method: DFT, PBE-GGA
State: optimized geometry

Cell lengths 2.920, 2.920, 9.077 Å; angles 90.00, 90.00, 90.00 degrees
Atoms (fractional coordinates):
Mg1 0.000 0.000 0.000
Au1 0.500 0.500 0.210
Au2 0.500 0.500 0.790
Se1 0.000 0.000 0.500

## Properties
**Energy above the most stable polymorph in this dataset**: 235 meV per atom
**Fermi-level density of states**: 0.189 states/eV/atom
**ΔE_f (raw)**: -0.16 eV/atom
**Spin magnetization**: 0.00 μB per atom



(2)
Material: MgAuSe2
Method: DFT, PBE-GGA
State: optimized geometry

Cell lengths 4.686, 4.686, 3.738 Å; angles 90.00, 90.00, 100.74 degrees
Atoms (fractional coordinates):
Mg1 0.000 0.000 0.000
Au1 0.500 0.500 0.000
Se1 0.000 0.500 0.500
Se2 0.500 0.000 0.500

## Properties
**Fermi-level density of states**: 0.405 states/eV/atom
**ΔE_f (raw)**: -0.17 eV/atom
**Spin magnetization**: 0.00 μB per atom



(3)
Material: MgAuSe2
Method: DFT, PBE-GGA
State: optimized geometry

Cell lengths 3.768, 3.768, 5.795 Å; angles 90.00, 90.00, 90.00 degrees
Atoms (fractional coordinates):
Mg1 0.000 0.000 0.000
Au1 0.000 0.000 0.500
Se1 0.500 0.500 0.246
Se2 0.500 0.500 0.754

## Properties
**Fermi-level density of states**: 0.521 states/eV/atom
**ΔE_f (raw)**: -0.13 eV/atom
**Spin magnetization**: 0.00 μB per atom



(4)
Material: MgAu3Se
Method: DFT, PBE-GGA
State: optimized geometry

Cell lengths 4.917, 4.917, 4.917 Å; angles 90.00, 90.00, 90.00 degrees
Atoms (fractional coordinates):
Mg1 0.000 0.000 0.000
Au1 0.000 0.000 0.500
Au2 0.000 0.500 0.000
Au3 0.500 0.000 0.000
Se1 0.500 0.500 0.500

## Properties
**Energy above the most stable polymorph in this dataset**: 260 meV per atom
**Fermi-level density of states**: 0.916 states/eV/atom
**ΔE_f (raw)**: 0.64 eV/atom
**Spin magnetization**: 0.00 μB per atom



(5)
Material: Mg4AuSe
Method: DFT, PBE-GGA
State: optimized geometry

Cell lengths 5.675, 5.675, 5.675 Å; angles 60.00, 60.00, 60.00 degrees
Atoms (fractional coordinates):
Mg1 0.125 0.125 0.125
Mg2 0.125 0.125 0.626
Mg3 0.125 0.626 0.125
Mg4 0.626 0.125 0.125
Au1 0.500 0.500 0.500
Se1 0.750 0.750 0.750

## Properties
**Fermi-level density of states**: 0.441 states/eV/atom
**ΔE_f (raw)**: -0.02 eV/atom
**Spin magnetization**: 0.00 μB per atom



(6)
Material: MgAu2Se
Method: DFT, PBE-GGA
State: optimized geometry

Cell lengths 4.202, 4.202, 6.422 Å; angles 90.06, 90.06, 58.64 degrees
Atoms (fractional coordinates):
Mg1 0.000 0.000 0.000
Au1 0.342 0.342 0.547
Au2 0.669 0.669 0.753
Se1 0.329 0.329 0.159

## Properties
**Energy above the most stable polymorph in this dataset**: 109 meV per atom
**Fermi-level density of states**: 0.227 states/eV/atom
**ΔE_f (raw)**: -0.29 eV/atom
**Spin magnetization**: 0.00 μB per atom